TbSm9In2 | PBE | relaxed

space-group type: P4/mmm (123)
ΔH_f (0 K): -170 meV/atom
total energy: -54.6 eV for the cell shown
size of the total moment: 0.00 μB/cell
D(E_F): 1.22 states/eV per atom

abc: 4.9558 4.9558 15.1920
angles: 90.00 90.00 90.00
Closest atoms and distances in Å follow each position.
Fractional positions:
Tb (0.0000, 0.0000, 0.0000)  12 Sm 3.50-3.61
Sm (0.0000, 0.5000, 0.1730)  8 Sm 3.50-3.61, 2 In 3.53, 2 Tb 3.61
Sm (0.0000, 0.5000, 0.5000)  4 In 3.48, 8 Sm 3.50
Sm (0.0000, 0.5000, 0.8270)  8 Sm 3.50-3.61, 2 In 3.53, 2 Tb 3.61
Sm (0.5000, 0.0000, 0.1730)  8 Sm 3.50-3.61, 2 In 3.53, 2 Tb 3.61
Sm (0.5000, 0.0000, 0.5000)  4 In 3.48, 8 Sm 3.50
Sm (0.5000, 0.0000, 0.8270)  8 Sm 3.50-3.61, 2 In 3.53, 2 Tb 3.61
Sm (0.5000, 0.5000, 0.0000)  4 Tb 3.50, 8 Sm 3.61
Sm (0.5000, 0.5000, 0.3373)  8 Sm 3.50-3.52, 4 In 3.50
Sm (0.5000, 0.5000, 0.6627)  8 Sm 3.50-3.52, 4 In 3.50
In (0.0000, 0.0000, 0.3389)  12 Sm 3.48-3.53
In (0.0000, 0.0000, 0.6611)  12 Sm 3.48-3.53